Record 1
Computed, not measured: a geometry-optimized CaTb3In12 structure at the PBE level of DFT.

a b c (Å): 4.666 4.666 18.697
angles (deg): 90.00 90.00 90.00
Fractional positions:
In: 0.000 0.500 0.376
In: 0.500 0.000 0.127
In: 0.500 0.000 0.873
Ca: 0.000 0.000 0.000
In: 0.500 0.500 0.500
In: 0.500 0.500 0.749
In: 0.000 0.500 0.624
Tb: 0.000 0.000 0.746
In: 0.500 0.000 0.376
Tb: 0.000 0.000 0.500
In: 0.500 0.500 0.251
In: 0.500 0.000 0.624
In: 0.500 0.500 0.000
In: 0.000 0.500 0.873
In: 0.000 0.500 0.127
Tb: 0.000 0.000 0.254

Properties
Calculated density (g/cm³): 7.7
Calculated total energy (eV per cell): -55.07
ΔH_f (0 K) (kcal/mol of atoms): -9.10
Total magnetic moment (μB per formula unit): 0.000

Record 2
Computed, not measured: a geometry-optimized Hf6AlIn3 structure at the PBE level of DFT.

a b c (Å): 5.395 8.884 9.486
angles (deg): 90.00 90.34 90.00
Fractional positions:
In: 0.500 0.500 0.000
Al: 0.000 0.000 0.000
Hf: 0.083 0.325 0.461
Hf: 0.917 0.675 0.539
Hf: 0.157 0.135 0.759
Hf: 0.583 0.175 0.961
Hf: 0.575 0.196 0.552
Hf: 0.417 0.825 0.039
Hf: 0.657 0.365 0.259
Hf: 0.843 0.865 0.241
In: 0.144 0.580 0.246
Hf: 0.425 0.804 0.448
In: 0.000 0.000 0.500
In: 0.356 0.080 0.254
In: 0.644 0.920 0.746
Al: 0.500 0.500 0.500
Hf: 0.925 0.696 0.948
In: 0.856 0.420 0.754
Hf: 0.075 0.304 0.052
Hf: 0.343 0.635 0.741

Properties
Calculated density (g/cm³): 10.5
Calculated total energy (eV per cell): -142.11
ΔH_f (0 K) (kcal/mol of atoms): 1.44
Total magnetic moment (μB per formula unit): 0.000

Record 3
Computed, not measured: a geometry-optimized NaPmPuGe structure at the PBE level of DFT.

a b c (Å): 5.263 5.263 5.263
angles (deg): 60.00 60.00 60.00
Last column: magnetic moment on the atom in μB.
Fractional positions:
Ge: 0.750 0.750 0.750  -0.08
Pm: 0.000 0.000 0.000  0.31
Pu: 0.500 0.500 0.500  5.64
Na: 0.250 0.250 0.250  0.02

Properties
Calculated density (g/cm³): 7.8
Calculated total energy (eV per cell): -25.18
ΔH_f (0 K) (kcal/mol of atoms): -0.93
Total magnetic moment (μB per formula unit): 6.671

Record 4
Computed, not measured: a geometry-optimized ZnIn2Ni7Sn2 structure at the PBE level of DFT.

a b c (Å): 3.549 3.549 15.174
angles (deg): 83.39 83.39 90.02
Last column: magnetic moment on the atom in μB.
Fractional positions:
Sn: 0.812 0.812 0.386  0.00
Ni: 0.440 0.941 0.120  0.11
Zn: 0.000 0.000 0.000  -0.01
In: 0.624 0.624 0.748  -0.01
Ni: 0.500 0.500 0.000  0.18
Ni: 0.284 0.284 0.444  -0.01
Ni: 0.716 0.716 0.556  -0.01
Ni: 0.560 0.059 0.880  0.11
Ni: 0.059 0.560 0.880  0.11
Ni: 0.941 0.440 0.120  0.11
In: 0.376 0.376 0.252  -0.01
Sn: 0.188 0.188 0.614  0.00

Properties
Calculated density (g/cm³): 8.3
Calculated total energy (eV per cell): -55.15
ΔH_f (0 K) (kcal/mol of atoms): 0.15
Total magnetic moment (μB per formula unit): 0.538

Record 5
Computed, not measured: a geometry-optimized HgBi3Au2 structure at the PBE level of DFT.

a b c (Å): 4.243 6.654 6.654
angles (deg): 94.90 90.00 90.00
Fractional positions:
Bi: 0.000 0.247 0.368
Hg: 0.500 0.822 0.178
Bi: 0.500 0.232 0.768
Bi: 0.000 0.632 0.753
Au: 0.500 0.542 0.458
Au: 0.000 0.026 0.974

Properties
Calculated density (g/cm³): 10.8
Calculated total energy (eV per cell): -17.68
ΔH_f (0 K) (kcal/mol of atoms): 3.16
Total magnetic moment (μB per formula unit): 0.000

Record 6
Computed, not measured: a geometry-optimized Na8PbO6 structure at the PBE level of DFT.

a b c (Å): 6.435 6.435 6.902
angles (deg): 62.22 62.22 60.00
Fractional positions:
Na: 0.904 0.508 0.346
Na: 0.341 0.341 0.977
Pb: 0.000 0.000 0.000
Na: 0.659 0.659 0.023
Na: 0.508 0.241 0.346
O: 0.912 0.228 0.225
Na: 0.241 0.904 0.346
O: 0.228 0.635 0.225
Na: 0.492 0.759 0.654
Na: 0.096 0.492 0.654
O: 0.772 0.365 0.775
O: 0.365 0.088 0.775
O: 0.088 0.772 0.775
O: 0.635 0.912 0.225
Na: 0.759 0.096 0.654

Properties
Calculated density (g/cm³): 3.9
Calculated total energy (eV per cell): -62.60
Uncorrected formation energy (meV per atom): -1239
Total magnetic moment (μB per formula unit): 0.099

Record 7
Computed, not measured: a geometry-optimized MgAg2Ir structure at the PBE level of DFT.

a b c (Å): 3.287 3.287 6.212
angles (deg): 90.00 90.00 90.00
Fractional positions:
Mg: 0.500 0.500 0.729
Ir: 0.000 0.000 0.516
Ag: 0.000 0.000 0.997
Ag: 0.500 0.500 0.257

Properties
Calculated density (g/cm³): 10.7
Calculated total energy (eV per cell): -15.99
ΔH_f (0 K) (kcal/mol of atoms): 0.98
Total magnetic moment (μB per formula unit): 0.000

Record 8
Computed, not measured: a geometry-optimized Co2CuH2 structure at the PBE level of DFT.

a b c (Å): 2.956 2.956 4.930
angles (deg): 72.55 72.55 90.00
Last column: magnetic moment on the atom in μB.
Fractional positions:
Cu: 0.000 0.000 0.000  0.05
Co: 0.655 0.655 0.690  1.03
H: 0.250 0.750 0.500  -0.01
H: 0.750 0.250 0.500  -0.01
Co: 0.345 0.345 0.310  1.03

Properties
Calculated density (g/cm³): 7.8
Calculated total energy (eV per cell): -24.26
Energy relative to the lowest polymorph listed for this composition (meV/atom): 0.0
Total magnetic moment (μB per formula unit): 2.009

Record 9
Computed, not measured: a geometry-optimized Nd3MnTl3Te8 structure at the PBE level of DFT.

a b c (Å): 8.902 8.901 9.697
angles (deg): 117.32 90.00 120.00
Last column: magnetic moment on the atom in μB.
Fractional positions:
Te: 0.259 0.517 0.276  0.00
Nd: 0.000 0.500 0.500  0.01
Tl: 0.500 0.500 0.000  0.01
Nd: 0.500 0.000 0.500  0.01
Te: 0.215 0.430 0.701  -0.05
Te: 0.741 0.483 0.724  0.00
Tl: 0.000 0.000 0.000  0.01
Tl: 0.000 0.500 0.000  0.01
Te: 0.771 0.986 0.701  -0.05
Te: 0.785 0.570 0.299  -0.05
Te: 0.229 0.014 0.299  -0.05
Mn: 0.000 0.000 0.500  3.45
Te: 0.215 0.986 0.701  -0.05
Nd: 0.500 0.500 0.500  0.01
Te: 0.785 0.014 0.299  -0.05

Properties
Calculated density (g/cm³): 6.2
Calculated total energy (eV per cell): -67.95
Uncorrected formation energy (meV per atom): -816
Total magnetic moment (μB per formula unit): 3.243

Record 10
Computed, not measured: a geometry-optimized AcDyS2O structure at the PBE level of DFT.

a b c (Å): 4.059 4.059 14.210
angles (deg): 90.00 90.00 90.00
Fractional positions:
S: 0.000 0.500 0.090
S: 0.500 0.000 0.910
Ac: 0.000 0.500 0.404
O: 0.500 0.500 0.500
S: 0.000 0.500 0.709
Dy: 0.000 0.500 0.884
S: 0.500 0.000 0.291
Ac: 0.500 0.000 0.596
O: 0.000 0.000 0.500
Dy: 0.500 0.000 0.116

Properties
Calculated density (g/cm³): 6.7
Calculated total energy (eV per cell): -69.09
Uncorrected formation energy (meV per atom): -2524
Total magnetic moment (μB per formula unit): 0.000

Record 11
Computed, not measured: a geometry-optimized Ba2MgAg3 structure at the PBE level of DFT.

a b c (Å): 6.688 6.688 9.670
angles (deg): 108.16 108.16 95.67
Fractional positions:
Ba: 0.757 0.757 0.000
Mg: 0.334 0.334 0.668
Ba: 0.750 0.250 0.500
Ba: 0.243 0.243 0.000
Ag: 0.169 0.169 0.338
Ag: 0.339 0.830 0.169
Ba: 0.250 0.750 0.500
Ag: 0.830 0.339 0.169
Ag: 0.661 0.170 0.831
Mg: 0.666 0.666 0.332
Ag: 0.831 0.831 0.662
Ag: 0.170 0.661 0.831

Properties
Calculated density (g/cm³): 5.4
Calculated total energy (eV per cell): -30.65
ΔH_f (0 K) (kcal/mol of atoms): -5.11
Total magnetic moment (μB per formula unit): 0.000

Record 12
Computed, not measured: a geometry-optimized PmPrErCd structure at the PBE level of DFT.

a b c (Å): 3.693 3.693 8.981
angles (deg): 90.00 90.00 90.00
Fractional positions:
Cd: 0.000 0.000 0.560
Pm: 0.500 0.500 0.792
Er: 0.500 0.500 0.354
Pr: 0.000 0.000 0.079

Properties
Calculated density (g/cm³): 7.7
Calculated total energy (eV per cell): -15.59
ΔH_f (0 K) (kcal/mol of atoms): -3.38
Energy relative to the lowest polymorph listed for this composition (meV/atom): 0.0
Total magnetic moment (μB per formula unit): 0.000

- Among the records above, which one has the highest calculated density?
  HgBi3Au2